Record 1
{"formula": "SrSbOs2", "functional": "meta-GGA SCAN", "state": "PBEsol geometry", "spacegroup": "Immm (71)", "e_tot_ev_per_atom": -49.87, "formation_energy_uncorrected_ev_per_atom": 0.96, "m_tot_mub_per_fu": 0.00, "cell": [[-0.984, -2.496, 1.570], [3.295, 1.112, 3.831], [-4.529, 3.359, -0.574]], "species": ["Sb", "Os", "Os", "Sr"], "fractional_positions": [[0.500, 0.000, 0.000], [0.778, 0.778, 0.556], [0.222, 0.222, 0.444], [0.000, 0.500, 0.000]]}



Record 2
{"formula": "MgTa3", "functional": "meta-GGA SCAN", "state": "PBEsol geometry", "spacegroup": "Fm-3m (225)", "de_polymorph_ev_per_atom": 0.011, "e_tot_ev_per_atom": -50.88, "m_tot_mub_per_fu": 0.00, "formation_energy_mev_per_atom": 305, "cell": [[-3.652, 1.613, 2.402], [-4.324, -1.211, -1.242], [-2.476, -2.886, 2.693]], "species": ["Ta", "Ta", "Ta", "Mg"], "fractional_positions": [[0.250, 0.250, 0.250], [0.750, 0.750, 0.750], [0.500, 0.500, 0.500], [0.000, 0.000, 0.000]]}



Record 3
{"formula": "CaAl2Ir", "functional": "meta-GGA SCAN", "state": "PBEsol geometry", "spacegroup": "F-43m (216)", "e_tot_ev_per_atom": -24.34, "m_tot_mub_per_fu": 0.00, "formation_energy_mev_per_atom": -273, "cell": [[-0.020, -4.313, -1.509], [3.926, 2.333, 0.195], [-2.055, -1.339, 3.855]], "species": ["Ca", "Al", "Al", "Ir"], "fractional_positions": [[0.500, 0.000, 0.500], [0.750, 0.500, 0.250], [0.000, 0.000, 0.000], [0.250, 0.500, 0.750]]}



Record 4
{"formula": "TlRe2Ni", "functional": "meta-GGA SCAN", "state": "PBEsol geometry", "spacegroup": "P2/m (10)", "de_polymorph_ev_per_atom": 0.055, "e_tot_ev_per_atom": -56.90, "m_tot_mub_per_fu": 0.00, "formation_energy_mev_per_atom": 785, "cell": [[2.856, 0.025, 0.000], [-0.178, 4.588, 0.000], [0.000, 0.000, 4.806]], "species": ["Re", "Re", "Ni", "Tl"], "fractional_positions": [[0.207, 0.272, 0.000], [0.793, 0.728, 0.000], [0.500, 0.500, 0.500], [0.000, 0.000, 0.500]]}



Record 5
{"formula": "BePPb2", "functional": "meta-GGA SCAN", "state": "PBEsol geometry", "spacegroup": "Pm (6)", "de_polymorph_ev_per_atom": 0.300, "e_tot_ev_per_atom": -41.38, "m_tot_mub_per_fu": 0.00, "formation_energy_mev_per_atom": 195, "cell": [[3.619, 0.000, 0.000], [0.000, 4.178, -0.014], [0.000, -2.086, 5.729]], "species": ["Pb", "Pb", "Be", "P"], "fractional_positions": [[0.000, 0.918, 0.966], [0.500, 0.600, 0.322], [0.000, 0.199, 0.510], [0.500, 0.283, 0.703]]}



Record 6
{"formula": "Nd3Si2ClO8", "functional": "meta-GGA SCAN", "state": "PBEsol geometry", "spacegroup": "C2/c (15)", "de_polymorph_ev_per_atom": 0.003, "e_tot_ev_per_atom": -18.38, "formation_energy_uncorrected_ev_per_atom": -3.48, "m_tot_mub_per_fu": 0.00, "cell": [[-4.422, 3.076, -3.433], [-2.826, -4.816, 5.268], [0.840, 7.003, 5.193]], "species": ["O", "O", "O", "O", "O", "O", "O", "O", "O", "O", "O", "O", "O", "O", "O", "O", "Nd", "Nd", "Nd", "Nd", "Nd", "Nd", "Si", "Si", "Si", "Si", "Cl", "Cl"], "fractional_positions": [[0.906, 0.291, 0.148], [0.958, 0.693, 0.156], [0.204, 0.151, 0.034], [0.947, 0.151, 0.534], [0.677, 0.473, 0.919], [0.053, 0.849, 0.466], [0.796, 0.473, 0.419], [0.265, 0.307, 0.344], [0.385, 0.291, 0.648], [0.042, 0.307, 0.844], [0.796, 0.849, 0.966], [0.204, 0.527, 0.581], [0.615, 0.709, 0.352], [0.323, 0.527, 0.081], [0.094, 0.709, 0.852], [0.735, 0.693, 0.656], [0.206, 0.627, 0.327], [0.794, 0.373, 0.673], [0.076, 0.000, 0.750], [0.421, 0.627, 0.827], [0.924, 0.000, 0.250], [0.579, 0.373, 0.173], [0.896, 0.684, 0.974], [0.212, 0.316, 0.526], [0.788, 0.684, 0.474], [0.104, 0.316, 0.026], [0.523, 0.000, 0.750], [0.477, 0.000, 0.250]]}